A plane-wave DFT calculation with PBE was carried out for a geometry-optimized PmLuOsAu structure.

The space group is F-43m (No. 216) and the conventional cell measures 7.018, 7.018 and 7.018 Å, with angles of 90.00, 90.00 and 90.00 degrees. Symmetry generates all atoms from Pm at (0.000, 0.000, 0.000), Lu at (0.000, 0.000, 0.500), Os at (0.250, 0.250, 0.750) and Au at (0.250, 0.250, 0.250).

For the total energy, the calculation gives -6.368 eV/atom. As for the formation energy: -424 meV per atom.